## YTc2Pt (PBE-GGA)

Data for crystalline YTc2Pt at its relaxed geometry.

a b c (Å): 4.6026 4.6026 4.6026
angles (deg): 60.00 60.00 60.00
With the nearest neighbours (Å) after each atom.
Positions (direct):
Y  0.0000  0.0000  0.0000  8 Tc 2.82
Tc  0.2500  0.2500  0.2500  4 Pt 2.82, 4 Y 2.82
Tc  0.7500  0.7500  0.7500  4 Y 2.82, 4 Pt 2.82
Pt  0.5000  0.5000  0.5000  8 Tc 2.82

Relative energy among the computed polymorphs   456.7 meV/atom